No. 1
Computed, not measured: a geometry-optimized BaPa2CuSe5 structure at the PBE-GGA level of DFT.

abc: 7.9271 7.9271 9.1470
angles: 115.68 115.68 90.00
Fractional positions:
Ba 0.2500 0.2500 0.5000
Ba 0.7500 0.7500 0.5000
Pa 0.1526 0.3474 0.0000
Pa 0.6526 0.1526 0.0000
Pa 0.3474 0.8474 0.0000
Pa 0.8474 0.6526 0.0000
Cu 0.2500 0.7500 0.5000
Cu 0.7500 0.2500 0.5000
Se 0.9792 0.4792 0.2622
Se 0.7171 0.2171 0.7378
Se 0.0208 0.5208 0.7378
Se 0.2171 0.0208 0.7378
Se 0.5208 0.7171 0.7378
Se 0.7829 0.9792 0.2622
Se 0.4792 0.2829 0.2622
Se 0.2829 0.7829 0.2622
Se 0.5000 0.5000 0.0000
Se 0.0000 0.0000 0.0000

Values from the calculation:
The calculation puts the total DFT energy (no corrections) at -108.757 eV for the cell shown. The density of states at the Fermi level is 1.074 states/eV per atom.

No. 2
Computed, not measured: a geometry-optimized Ba3PaCu2Se9 structure at the PBE-GGA level of DFT.

abc: 7.3105 7.3105 8.8861
angles: 90.00 90.00 120.00
Fractional positions:
Ba 0.3333 0.6667 0.6872
Ba 0.0000 0.0000 0.0000
Ba 0.6667 0.3333 0.3128
Pa 0.0000 0.0000 0.5000
Cu 0.3333 0.6667 0.1566
Cu 0.6667 0.3333 0.8434
Se 0.8255 0.1745 0.6773
Se 0.8255 0.6511 0.6773
Se 0.3489 0.1745 0.6773
Se 0.6511 0.8255 0.3227
Se 0.1745 0.3489 0.3227
Se 0.1745 0.8255 0.3227
Se 0.5000 0.0000 0.0000
Se 0.0000 0.5000 0.0000
Se 0.5000 0.5000 0.0000

Values from the calculation:
The calculation puts the total DFT energy (no corrections) at -70.702 eV for the cell shown. The density of states at the Fermi level is 0.646 states/eV per atom.

Result set for energy relative to the elements, uncorrected: -1327; -1059 meV/atom, one per record in the order listed.